Entry 1:
Pd2AuCl6, relaxed, DFT GGA-PBE; ΔE_f (raw) = -0.353 eV/atom
1.0
3.8438 -6.1865 0.0000
3.8438 6.1865 0.0000
-3.1135 0.0000 5.5005
Pd Au Cl
2 1 6
Direct
0.0000 0.5000 0.0000 Pd
0.5000 0.0000 0.0000 Pd
0.0000 0.0000 0.5000 Au
0.1217 0.3985 0.7084 Cl
0.1438 0.8562 0.0000 Cl
0.3985 0.1217 0.7084 Cl
0.6015 0.8783 0.2916 Cl
0.8562 0.1438 0.0000 Cl
0.8783 0.6015 0.2916 Cl



Entry 2:
Pd2AuCl, relaxed, DFT GGA-PBE; distance to the lowest polymorph of the same formula = 0.000 eV/atom; ΔE_f (raw) = 0.288 eV/atom
1.0
6.5026 0.0000 0.0000
0.0000 6.5026 0.0000
0.0000 0.0000 6.5026
Pd Au Cl
8 4 4
Direct
0.2500 0.2500 0.2500 Pd
0.2500 0.2500 0.7500 Pd
0.2500 0.7500 0.2500 Pd
0.2500 0.7500 0.7500 Pd
0.7500 0.2500 0.2500 Pd
0.7500 0.2500 0.7500 Pd
0.7500 0.7500 0.2500 Pd
0.7500 0.7500 0.7500 Pd
0.0000 0.0000 0.0000 Au
0.0000 0.5000 0.5000 Au
0.5000 0.0000 0.5000 Au
0.5000 0.5000 0.0000 Au
0.0000 0.0000 0.5000 Cl
0.0000 0.5000 0.0000 Cl
0.5000 0.0000 0.0000 Cl
0.5000 0.5000 0.5000 Cl



Entry 3:
PdAuCl2, relaxed, DFT GGA-PBE; distance to the lowest polymorph of the same formula = 0.000 eV/atom; ΔE_f (raw) = -0.013 eV/atom
1.0
3.9490 0.0000 0.0000
-1.9745 3.4200 0.0000
0.0000 0.0000 22.0069
Pd Au Cl
3 3 6
Direct
0.0000 0.0000 0.0000 Pd
0.3333 0.6667 0.6667 Pd
0.6667 0.3333 0.3333 Pd
0.0000 0.0000 0.5000 Au
0.3333 0.6667 0.1667 Au
0.6667 0.3333 0.8333 Au
0.0000 0.0000 0.3947 Cl
0.0000 0.0000 0.6053 Cl
0.3333 0.6667 0.0614 Cl
0.3333 0.6667 0.2720 Cl
0.6667 0.3333 0.7280 Cl
0.6667 0.3333 0.9386 Cl



Total magnetization list, top to bottom, in μB/cell: 0.817; 0.000; 3.000
Energy list, top to bottom, in hartree per atom: -0.1140; -0.1319; -0.1122
Theoretical density list, top to bottom, in g/cm³: 3.95; 10.76; 6.27